Entry 1:
Below is a relaxed structure of Ba3CO6, with properties calculated at the PBE-GGA level.

Cell and atoms, written as POSCAR:
```
Ba3CO6
1.0
5.394 -7.412 0.000
5.394 7.412 0.000
0.000 0.000 4.540
Ba C O
6 2 12
Cartesian
5.394 5.818 2.270
3.375 1.954 2.129
3.375 -1.954 4.399
7.413 1.954 2.129
7.413 -1.954 4.399
5.394 -5.818 0.000
5.394 3.288 4.402
5.394 -3.288 2.132
4.209 3.942 3.934
1.903 0.050 3.343
1.903 -0.050 1.073
5.394 3.385 1.246
6.578 3.942 3.934
5.394 1.926 4.027
5.394 -1.926 1.757
4.209 -3.942 1.664
5.394 -3.385 3.516
8.885 0.050 3.343
8.885 -0.050 1.073
6.578 -3.942 1.664
```

Computed properties:
SG	Cmc2_1
total energy	-6.39	eV per atom
theoretical density	4.8	Mg/m³
crystal system	orthorhombic

***

Entry 2:
Below is a relaxed structure of Hf4MgS8, with properties calculated at the PBE-GGA level.

Cell and atoms, written as POSCAR:
```
Hf4MgS8
1.0
6.217 -3.597 0.000
6.217 3.597 0.000
-6.157 0.000 6.298
Hf Mg S
4 1 8
Cartesian
-3.082 0.000 6.173
6.217 1.853 0.000
6.217 -1.853 0.000
9.359 0.000 0.125
3.139 0.000 3.149
-1.005 0.000 1.540
2.078 1.753 1.525
4.200 1.753 4.773
1.128 0.000 4.853
5.149 0.000 1.445
2.078 -1.753 1.525
4.200 -1.753 4.773
7.282 0.000 4.758
```

Computed properties:
SG	C2/m
total energy	-7.27	eV per atom
theoretical density	5.9	Mg/m³
crystal system	monoclinic

***

Entry 3:
Below is a relaxed structure of TeSeBr2, with properties calculated at the PBE-GGA level.

Cell and atoms, written as POSCAR:
```
TeSeBr2
1.0
4.767 0.000 0.000
0.000 4.788 0.000
0.000 0.000 5.359
Te Se Br
1 1 2
Cartesian
0.000 0.000 0.000
2.384 2.394 0.000
0.000 0.000 2.679
2.384 2.394 2.679
```

Computed properties:
ΔE to the lowest computed polymorph	297	meV per atom
SG	Pmmm
theoretical density	5.0	Mg/m³
crystal system	orthorhombic

***

Entry 4:
Below is a relaxed structure of LaNdGaCu, with properties calculated at the PBE-GGA level.

Cell and atoms, written as POSCAR:
```
LaNdGaCu
1.0
7.392 0.000 0.000
0.000 7.392 0.000
0.000 0.000 7.392
La Nd Ga Cu
4 4 4 4
Cartesian
0.000 0.000 0.000
0.000 3.696 3.696
3.696 0.000 3.696
3.696 3.696 0.000
0.000 0.000 3.696
0.000 3.696 0.000
3.696 0.000 0.000
3.696 3.696 3.696
1.848 1.848 1.848
1.848 5.544 5.544
5.544 1.848 5.544
5.544 5.544 1.848
1.848 1.848 5.544
1.848 5.544 1.848
5.544 1.848 1.848
5.544 5.544 5.544
```

Computed properties:
formation enthalpy at 0 K	-0.338	eV/atom
SG	F-43m
theoretical density	6.8	Mg/m³
crystal system	cubic

***

Entry 5:
Below is a relaxed structure of Pm5Bi5Rh, with properties calculated at the PBE-GGA level.

Cell and atoms, written as POSCAR:
```
Pm5Bi5Rh
1.0
6.808 -3.170 0.000
6.808 3.170 0.000
-4.830 0.000 8.656
Pm Bi Rh
5 5 1
Cartesian
0.000 0.000 0.000
0.889 0.000 6.072
4.184 0.000 1.065
4.601 0.000 7.591
7.896 0.000 2.584
-2.245 0.000 6.762
1.417 0.000 2.906
4.392 0.000 4.328
7.367 0.000 5.750
11.030 0.000 1.894
6.808 0.000 0.000
```

Computed properties:
formation enthalpy at 0 K	-0.553	eV/atom
SG	C2/m
theoretical density	8.3	Mg/m³
crystal system	monoclinic

***

Entry 6:
Below is a relaxed structure of HfBiCl3, with properties calculated at the PBE-GGA level.

Cell and atoms, written as POSCAR:
```
HfBiCl3
1.0
5.101 0.000 0.000
0.000 5.101 0.000
0.000 0.000 5.101
Hf Bi Cl
1 1 3
Cartesian
0.000 0.000 0.000
2.550 2.550 2.550
0.000 0.000 2.550
0.000 2.550 0.000
2.550 0.000 0.000
```

Computed properties:
ΔE to the lowest computed polymorph	0	meV per atom
SG	Pm-3m
theoretical density	6.2	Mg/m³
crystal system	cubic

***

Entry 7:
Below is a relaxed structure of MgSc2BSb, with properties calculated at the PBE-GGA level.

Cell and atoms, written as POSCAR:
```
MgSc2BSb
1.0
4.688 0.000 0.000
0.000 4.688 0.000
0.000 0.000 4.479
Mg Sc B Sb
1 2 1 1
Cartesian
0.000 0.000 0.000
0.000 2.344 2.240
2.344 0.000 2.240
0.000 0.000 2.240
2.344 2.344 0.000
```

Computed properties:
SG	P4/mmm
total energy	-5.50	eV per atom
theoretical density	4.2	Mg/m³
crystal system	tetragonal

***

Entry 8:
Below is a relaxed structure of Dy2HoHg5, with properties calculated at the PBE-GGA level.

Cell and atoms, written as POSCAR:
```
Dy2HoHg5
1.0
5.194 0.000 0.000
0.000 5.194 0.000
0.000 0.000 14.590
Dy Ho Hg
4 2 10
Cartesian
0.000 0.000 3.442
0.000 0.000 11.149
2.597 2.597 3.853
2.597 2.597 10.737
0.000 0.000 7.295
2.597 2.597 0.000
0.000 0.000 0.000
0.000 2.597 1.810
0.000 2.597 5.486
0.000 2.597 9.105
0.000 2.597 12.781
2.597 0.000 1.810
2.597 0.000 5.486
2.597 0.000 9.105
2.597 0.000 12.781
2.597 2.597 7.295
```

Computed properties:
formation enthalpy at 0 K	-0.415	eV/atom
SG	I4/mmm
theoretical density	12.6	Mg/m³
crystal system	tetragonal

***

Question: What is the theoretical density in the second record?
Answer: 5.9 Mg/m³

***

Question: theoretical density of number 1 (Ba3CO6)?
Answer: 4.8 Mg/m³